The following is a DFT calculation (PBE-GGA) of BP2PbCl after structural relaxation.

Cell lengths 4.085, 4.085, 8.994 Å; angles 90.00, 90.00, 90.00 degrees
Fractional coordinates of all 5 atoms:
B1 0.000 0.000 0.000
P1 0.500 0.000 0.000
P2 0.000 0.500 0.000
Cl1 0.000 0.000 0.500
Pb1 0.500 0.500 0.500

crystal system = tetragonal
theoretical density = 3.5 g/cm3
calculated total energy = -3.95 eV/atom
symmetry = P4/mmm
energy relative to the elements, uncorrected = 0.66 eV per atom
polymorph energy (0 for the lowest one) = 0 meV per atom